The following is a PBE calculation of a relaxed structure of Pr8Co3PCl4, from Alexandria via LeMat-Bulk.

Values from the calculation:
Crystal system: trigonal
Formation energy (no corrections), meV per atom: -972.6
Total energy, eV per cell: -263.7

Lattice parameters (Å, degrees): 8.1496 8.1496 22.3628 90.00 90.00 120.00
Space group R-3m (No. 166, hexagonal axes)
Asymmetric unit:
Pr (0.0000, 0.0000, 0.2344) x6
Pr (0.0117, 0.5058, 0.7650) x18
Co (0.0000, 0.5000, 0.5000) x9
P (0.0000, 0.0000, 0.5000) x3
Cl (0.0000, 0.0000, 0.0000) x3
Cl (0.0000, 0.5000, 0.0000) x9